Entry 1:
Below is a geometry-optimized La2CoPIr structure, with properties calculated at the PBE level.

As for the total magnetization: 0.00 μB/cell. Its formation energy is -0.412 eV/atom. The volume comes out at 22.973 A^3/atom. The raw total energy is -0.489 Ry per atom.

The space group is P4/mmm (No. 123) and the conventional cell measures 5.3103, 5.3103 and 4.0733 Å, with angles of 90.00, 90.00 and 90.00 degrees. Symmetry generates all atoms from La at (0.0000, 0.5000, 0.0000), Co at (0.0000, 0.0000, 0.0000), P at (0.0000, 0.0000, 0.5000) and Ir at (0.5000, 0.5000, 0.5000).

Entry 2:
Below is a geometry-optimized LaCoP2Ir structure, with properties calculated at the PBE level.

As for the total magnetization: 0.00 μB/cell. Its formation energy is -0.956 eV/atom. The volume comes out at 17.125 A^3/atom. The raw total energy is -0.536 Ry per atom.

The space group is I-4m2 (No. 119) and the conventional cell measures 3.8322, 3.8322 and 11.6610 Å, with angles of 90.00, 90.00 and 90.00 degrees. Symmetry generates all atoms from La at (0.0000, 0.0000, 0.0000), Co at (0.0000, 0.5000, 0.2500), P at (0.0000, 0.0000, 0.3613) and Ir at (0.0000, 0.5000, 0.7500).